[1]
# Ce2ZnNi, optimized geometry, DFT PBE-GGA
# E_tot ... -0.36025 Ry/atom
# DOS at the Fermi energy ... 6.4 states/eV/cell
# Energy relative to the elements ... -0.17 eV/atom
data_Ce2ZnNi
_space_group_name_H-M_alt 'P 4/m m m'
_space_group_IT_number 123
_space_group_name_Hall '-P 4 2'
_cell_length_a 4.390
_cell_length_b 4.390
_cell_length_c 4.207
_cell_angle_alpha 90.00
_cell_angle_beta 90.00
_cell_angle_gamma 90.00
loop_
_atom_site_label
_atom_site_fract_x
_atom_site_fract_y
_atom_site_fract_z
Ce1 0.000 0.500 0.000
Zn1 0.000 0.000 0.500
Ni1 0.500 0.500 0.500

***

[2]
# Ce2Zn3Ni5, optimized geometry, DFT PBE-GGA
# E_tot ... -0.34918 Ry/atom
# DOS at the Fermi energy ... 42.0 states/eV/cell
# Energy relative to the elements ... -0.29 eV/atom
data_Ce2Zn3Ni5
_space_group_name_H-M_alt 'I b a m'
_space_group_IT_number 72
_space_group_name_Hall '-I 2 2c'
_cell_length_a 9.644
_cell_length_b 12.662
_cell_length_c 5.225
_cell_angle_alpha 90.00
_cell_angle_beta 90.00
_cell_angle_gamma 90.00
loop_
_atom_site_label
_atom_site_fract_x
_atom_site_fract_y
_atom_site_fract_z
Ce1 0.243 0.127 0.000
Zn1 0.000 0.500 0.250
Zn2 0.076 0.152 0.500
Ni1 0.000 0.000 0.250
Ni2 0.000 0.305 0.250
Ni3 0.180 0.393 0.000

***

[3]
# Ce2ZnNi, optimized geometry, DFT PBE-GGA
# E_tot ... -0.36415 Ry/atom
# DOS at the Fermi energy ... 7.0 states/eV/cell
# Energy relative to the elements ... -0.22 eV/atom
data_Ce2ZnNi
_space_group_name_H-M_alt 'P 4/m m m'
_space_group_IT_number 123
_space_group_name_Hall '-P 4 2'
_cell_length_a 3.582
_cell_length_b 3.582
_cell_length_c 6.686
_cell_angle_alpha 90.00
_cell_angle_beta 90.00
_cell_angle_gamma 90.00
loop_
_atom_site_label
_atom_site_fract_x
_atom_site_fract_y
_atom_site_fract_z
Ce1 0.000 0.000 0.217
Zn1 0.500 0.500 0.500
Ni1 0.500 0.500 0.000

***

[4]
# CeZn4Ni, optimized geometry, DFT PBE-GGA
# E_tot ... -0.22626 Ry/atom
# DOS at the Fermi energy ... 11.8 states/eV/cell
# Energy relative to the elements ... -0.28 eV/atom
data_CeZn4Ni
_space_group_name_H-M_alt 'P m m a'
_space_group_IT_number 51
_cell_length_a 7.424
_cell_length_b 4.092
_cell_length_c 6.751
_cell_angle_alpha 90.00
_cell_angle_beta 90.00
_cell_angle_gamma 90.00
loop_
_space_group_symop_operation_xyz
'x,y,z'
'-x,-y,-z'
'-x+1/2,-y,z'
'x+1/2,y,-z'
'x+1/2,-y,-z'
'-x+1/2,y,z'
'-x,y,-z'
'x,-y,z'
loop_
_atom_site_label
_atom_site_fract_x
_atom_site_fract_y
_atom_site_fract_z
Ce1 0.250 0.000 0.104
Zn1 0.000 0.000 0.500
Zn2 0.056 0.500 0.797
Zn3 0.250 0.500 0.454
Ni1 0.250 0.000 0.723

***

[5]
# CeZnNi3, optimized geometry, DFT PBE-GGA
# E_tot ... -0.35919 Ry/atom
# DOS at the Fermi energy ... 7.8 states/eV/cell
# Energy relative to the elements ... 0.02 eV/atom
data_CeZnNi3
_space_group_name_H-M_alt 'P b a m'
_space_group_IT_number 55
_cell_length_a 4.886
_cell_length_b 7.025
_cell_length_c 4.790
_cell_angle_alpha 90.00
_cell_angle_beta 90.00
_cell_angle_gamma 90.00
loop_
_space_group_symop_operation_xyz
'x,y,z'
'-x,-y,-z'
'-x,-y,z'
'x,y,-z'
'x+1/2,-y+1/2,-z'
'-x+1/2,y+1/2,z'
'-x+1/2,y+1/2,-z'
'x+1/2,-y+1/2,z'
loop_
_atom_site_label
_atom_site_fract_x
_atom_site_fract_y
_atom_site_fract_z
Ce1 0.000 0.000 0.000
Zn1 0.000 0.500 0.500
Ni1 0.000 0.500 0.000
Ni2 0.042 0.171 0.500

***

[6]
# Ce2ZnNi4, optimized geometry, DFT PBE-GGA
# E_tot ... -0.39317 Ry/atom
# DOS at the Fermi energy ... 16.7 states/eV/cell
# Energy relative to the elements ... -0.17 eV/atom
data_Ce2ZnNi4
_space_group_name_H-M_alt 'I 4/m m m'
_space_group_IT_number 139
_space_group_name_Hall '-I 4 2'
_cell_length_a 5.826
_cell_length_b 5.826
_cell_length_c 7.471
_cell_angle_alpha 90.00
_cell_angle_beta 90.00
_cell_angle_gamma 90.00
loop_
_atom_site_label
_atom_site_fract_x
_atom_site_fract_y
_atom_site_fract_z
Ce1 0.000 0.500 0.250
Zn1 0.000 0.000 0.000
Ni1 0.205 0.205 0.500

***

[7]
# CeZn6Ni6, optimized geometry, DFT PBE-GGA
# E_tot ... -0.29305 Ry/atom
# DOS at the Fermi energy ... 15.8 states/eV/cell
# Energy relative to the elements ... -0.27 eV/atom
data_CeZn6Ni6
_space_group_name_H-M_alt 'I m m m'
_space_group_IT_number 71
_space_group_name_Hall '-I 2 2'
_cell_length_a 4.944
_cell_length_b 8.365
_cell_length_c 8.670
_cell_angle_alpha 90.00
_cell_angle_beta 90.00
_cell_angle_gamma 90.00
loop_
_atom_site_label
_atom_site_fract_x
_atom_site_fract_y
_atom_site_fract_z
Ce1 0.000 0.000 0.000
Zn1 0.000 0.000 0.353
Zn2 0.000 0.345 0.000
Zn3 0.000 0.500 0.292
Ni1 0.000 0.275 0.500
Ni2 0.250 0.250 0.250

***

[8]
# Ce3ZnNi8, optimized geometry, DFT PBE-GGA
# E_tot ... -0.42831 Ry/atom
# DOS at the Fermi energy ... 43.1 states/eV/cell
# Energy relative to the elements ... -0.38 eV/atom
data_Ce3ZnNi8
_space_group_name_H-M_alt 'R 3 m'
_space_group_IT_number 160
_space_group_name_Hall 'R 3 -2"'
_cell_length_a 4.9889
_cell_length_b 4.9889
_cell_length_c 24.6671
_cell_angle_alpha 90.00
_cell_angle_beta 90.00
_cell_angle_gamma 120.00
loop_
_atom_site_label
_atom_site_fract_x
_atom_site_fract_y
_atom_site_fract_z
Ce1 0.0000 0.0000 0.0000
Ce2 0.0000 0.0000 0.1283
Ce3 0.0000 0.0000 0.5115
Zn1 0.0000 0.0000 0.6340
Ni1 0.0000 0.0000 0.3167
Ni2 0.0000 0.0000 0.8171
Ni3 0.1676 0.3352 0.9021
Ni4 0.1681 0.3362 0.3989